DFT (GGA+U) results for crystalline CsLiV2O6 at its relaxed geometry.

The structure belongs to space group C2/c (No. 15); the cell edges are 10.545, 12.424 and 6.057 Å and the angles 90.00°, 110.71° and 90.00°. Symmetry generates all atoms from Cs at (0.000, 0.122, 0.250), Li at (0.000, 0.237, 0.750), V at (0.194, 0.421, 0.129), O at (0.082, 0.320, 0.040), O at (0.147, 0.129, 0.778) and O at (0.177, 0.489, 0.385).

As for the calculated total energy: -6.732 eV/atom.